<w>
Entry from the Alexandria database: a relaxed NdInPb crystal (PBE-GGA).

Cell: 5.7065 3.6733 9.0395 Å, 78.28 90.00 90.00°
Last column: nearest neighbours and their distance in Å.
Sites, in units of the cell vectors:
Pb: 0.7500 0.6464 0.7073  5 Nd 3.25-3.42, 4 In 3.48
Pb: 0.2500 0.3536 0.2927  5 Nd 3.25-3.42, 4 In 3.48
In: 0.5000 0.0000 0.0000  2 In 2.85
In: 0.0000 0.0000 0.0000  2 In 2.85
Nd: 0.7500 0.8300 0.3400  5 Pb 3.25-3.42, 2 In 3.33
Nd: 0.2500 0.1700 0.6600  5 Pb 3.25-3.42, 2 In 3.33

=====

<x>
Entry from the Alexandria database: a relaxed NdInPb crystal (PBE-GGA).

Cell: 4.5226 4.8111 4.8111 Å, 120.00 90.00 90.00°
Last column: nearest neighbours and their distance in Å.
Sites, in units of the cell vectors:
Pb: 0.2891 0.3333 0.6667  3 In 3.01, 3 Nd 3.29
Nd: 0.6778 0.6667 0.3333  3 In 3.21, 3 Pb 3.29
In: 0.0331 0.0000 0.0000  3 Pb 3.01, 3 Nd 3.21

=====

Least stable = <w>

=====

<w>
Entry from the Alexandria database: a relaxed PrNdInPb crystal (PBE-GGA).

Cell: 5.5556 5.5556 5.5556 Å, 60.00 60.00 60.00°
Last column: nearest neighbours and their distance in Å.
Sites, in units of the cell vectors:
Pb: 0.7500 0.7500 0.7500  4 Pr 3.40, 4 Nd 3.40
Pr: 0.0000 0.0000 0.0000  4 Pb 3.40, 4 In 3.40
Nd: 0.5000 0.5000 0.5000  4 Pb 3.40, 4 In 3.40
In: 0.2500 0.2500 0.2500  4 Pr 3.40, 4 Nd 3.40

=====

<x>
Entry from the Alexandria database: a relaxed PrNdInPb crystal (PBE-GGA).

Cell: 4.7533 4.4798 6.4306 Å, 90.00 111.69 90.00°
Last column: nearest neighbours and their distance in Å.
Sites, in units of the cell vectors:
Pr: 0.8640 0.5000 0.7280  3 Pb 3.32-3.57, 4 In 3.32
Nd: 0.1371 0.0000 0.2742  3 In 3.29-3.59, 4 Pb 3.32
In: 0.4123 0.0000 0.8247  2 Pb 3.06, 1 Nd 3.29, 4 Pr 3.32
Pb: 0.5865 0.5000 0.1731  2 In 3.06, 1 Pr 3.32, 4 Nd 3.32

=====

Least stable = <w>